No. 1
First-principles (PBE) data for crystalline RbGeAsHSe at its relaxed geometry, as listed in Alexandria.

a b c (Å): 4.2548 4.2548 7.5735
angles (deg): 99.68 99.68 80.97
Element x y z (fractional)
Rb 0.0000 0.0000 0.0000
Ge 0.3422 0.3422 0.4579
As 0.7066 0.7066 0.3686
H 0.8311 0.8311 0.5657
Se 0.4291 0.4291 0.7737

As for the space group: Cm. The calculation puts the calculated total energy at -3.657 eV per atom. Its excess energy over the best structure of this formula in the dataset is 0.419 eV/f.u.

***

No. 2
First-principles (PBE) data for crystalline RbGeAsHSe at its relaxed geometry, as listed in Alexandria.

a b c (Å): 4.0012 4.9168 7.3131
angles (deg): 89.04 75.00 89.93
Element x y z (fractional)
Rb 0.0000 0.0000 0.0000
Ge 0.2118 0.5116 0.5665
As 0.3043 0.0144 0.4443
H 0.9373 0.0161 0.4101
Se 0.5969 0.5051 0.7946

As for the space group: P1. The calculation puts the calculated total energy at -3.740 eV per atom. Its excess energy over the best structure of this formula in the dataset is 0.000 eV/f.u.

***

No. 3
First-principles (PBE) data for crystalline RbGeAsHSe at its relaxed geometry, as listed in Alexandria.

a b c (Å): 5.4012 5.4012 6.2124
angles (deg): 101.05 101.05 53.75
Element x y z (fractional)
Rb 0.0000 0.0000 0.0000
Ge 0.2267 0.2267 0.5767
As 0.6397 0.6397 0.6126
H 0.3420 0.3420 0.8053
Se 0.4151 0.4151 0.3508

As for the space group: Cm. The calculation puts the calculated total energy at -3.660 eV per atom. Its excess energy over the best structure of this formula in the dataset is 0.400 eV/f.u.

***

No. 4
First-principles (PBE) data for crystalline RbGeAsHSe at its relaxed geometry, as listed in Alexandria.

a b c (Å): 3.9912 4.8431 7.4134
angles (deg): 71.08 74.38 89.99
Element x y z (fractional)
Rb 0.0000 0.0000 0.0000
Ge 0.2471 0.7374 0.5220
As 0.3668 0.3029 0.3900
H 0.0324 0.3385 0.3184
Se 0.6174 0.6193 0.7597

As for the space group: P1. The calculation puts the calculated total energy at -3.738 eV per atom. Its excess energy over the best structure of this formula in the dataset is 0.012 eV/f.u.

***

No. 5
First-principles (PBE) data for crystalline GeAsHSe2 at its relaxed geometry, as listed in Alexandria.

a b c (Å): 5.0783 5.0783 4.9767
angles (deg): 90.00 90.00 90.00
Element x y z (fractional)
Ge 0.0000 0.0000 0.0000
As 0.0000 0.0000 0.5000
H 0.5000 0.5000 0.5000
Se 0.0000 0.5000 0.0000
Se 0.5000 0.0000 0.0000

As for the space group: P4/mmm. The calculation puts the calculated total energy at -2.916 eV per atom. Its excess energy over the best structure of this formula in the dataset is 2.706 eV/f.u.

***

No. 6
First-principles (PBE) data for crystalline GeAs2HSe at its relaxed geometry, as listed in Alexandria.

a b c (Å): 3.9654 3.9654 5.6435
angles (deg): 90.00 90.00 90.00
Element x y z (fractional)
Ge 0.0000 0.0000 0.0000
As 0.0000 0.5000 0.5000
As 0.5000 0.0000 0.5000
H 0.5000 0.5000 0.5000
Se 0.5000 0.5000 0.0000

As for the space group: P4/mmm. The calculation puts the calculated total energy at -3.643 eV per atom. Its excess energy over the best structure of this formula in the dataset is 0.000 eV/f.u.

***

No. 7
First-principles (PBE) data for crystalline GeAsHSe2 at its relaxed geometry, as listed in Alexandria.

a b c (Å): 5.0957 5.0957 3.4114
angles (deg): 90.00 90.00 90.00
Element x y z (fractional)
Ge 0.0000 0.0000 0.0000
As 0.5000 0.5000 0.0000
H 0.5000 0.5000 0.5000
Se 0.0000 0.5000 0.5000
Se 0.5000 0.0000 0.5000

As for the space group: P4/mmm. The calculation puts the calculated total energy at -3.458 eV per atom. Its excess energy over the best structure of this formula in the dataset is 0.000 eV/f.u.

***

No. 8
First-principles (PBE) data for crystalline GeAs2HSe at its relaxed geometry, as listed in Alexandria.

a b c (Å): 4.9957 4.9957 5.0841
angles (deg): 90.00 90.00 90.00
Element x y z (fractional)
Ge 0.0000 0.0000 0.0000
As 0.0000 0.5000 0.0000
As 0.5000 0.0000 0.0000
H 0.5000 0.5000 0.5000
Se 0.0000 0.0000 0.5000

As for the space group: P4/mmm. The calculation puts the calculated total energy at -3.022 eV per atom. Its excess energy over the best structure of this formula in the dataset is 3.102 eV/f.u.

***

No. 9
First-principles (PBE) data for crystalline GeTeAs2H at its relaxed geometry, as listed in Alexandria.

a b c (Å): 4.2339 4.2339 5.1107
angles (deg): 90.00 90.00 90.00
Element x y z (fractional)
Ge 0.0000 0.0000 0.0000
Te 0.5000 0.5000 0.0000
As 0.0000 0.5000 0.5000
As 0.5000 0.0000 0.5000
H 0.0000 0.0000 0.5000

As for the space group: P4/mmm. The calculation puts the calculated total energy at -3.505 eV per atom.

***

No. 10
First-principles (PBE) data for crystalline Y2GeAsH at its relaxed geometry, as listed in Alexandria.

a b c (Å): 5.4097 5.4097 4.8772
angles (deg): 90.00 90.00 90.00
Element x y z (fractional)
Y 0.0000 0.5000 0.0000
Y 0.5000 0.0000 0.0000
Ge 0.0000 0.0000 0.5000
As 0.0000 0.0000 0.0000
H 0.5000 0.5000 0.5000

As for the space group: P4/mmm. The calculation puts the calculated total energy at -4.772 eV per atom.

***

No. 11
First-principles (PBE) data for crystalline Zn2GeAsH at its relaxed geometry, as listed in Alexandria.

a b c (Å): 4.9691 4.9691 5.1506
angles (deg): 90.00 90.00 90.00
Element x y z (fractional)
Zn 0.0000 0.5000 0.0000
Zn 0.5000 0.0000 0.0000
Ge 0.0000 0.0000 0.5000
As 0.0000 0.0000 0.0000
H 0.5000 0.5000 0.5000

As for the space group: P4/mmm. The calculation puts the calculated total energy at -2.108 eV per atom.

***

No. 12
First-principles (PBE) data for crystalline Hf2GeAs at its relaxed geometry, as listed in Alexandria.

a b c (Å): 3.8255 3.8464 5.4355
angles (deg): 90.00 90.00 90.00
Element x y z (fractional)
Hf 0.0000 0.0000 0.0000
Hf 0.5000 0.5000 0.5000
Ge 0.0000 0.0000 0.5000
As 0.5000 0.5000 0.0000

As for the space group: Pmmm. The calculation puts the calculated total energy at -8.080 eV per atom. The value obtained for the formation enthalpy at 0 K is -787 meV per atom. Its excess energy over the best structure of this formula in the dataset is 0.000 eV/f.u.

***

No. 13
First-principles (PBE) data for crystalline Hf4GeAs at its relaxed geometry, as listed in Alexandria.

a b c (Å): 6.3352 6.4052 6.4436
angles (deg): 90.00 94.49 90.00
Element x y z (fractional)
Hf 0.1351 0.1440 0.3695
Hf 0.1351 0.3560 0.8695
Hf 0.3568 0.6391 0.3451
Hf 0.3568 0.8609 0.8451
Hf 0.6432 0.1391 0.1549
Hf 0.6432 0.3609 0.6549
Hf 0.8649 0.6440 0.1305
Hf 0.8649 0.8560 0.6305
Ge 0.0000 0.0000 0.0000
Ge 0.0000 0.5000 0.5000
As 0.5000 0.0000 0.5000
As 0.5000 0.5000 0.0000

As for the space group: P2_1/c. The calculation puts the calculated total energy at -8.451 eV per atom. The value obtained for the formation enthalpy at 0 K is -271 meV per atom. Its excess energy over the best structure of this formula in the dataset is 2.697 eV/f.u.

***

No. 14
First-principles (PBE) data for crystalline Hf8Ge2As3 at its relaxed geometry, as listed in Alexandria.

a b c (Å): 7.0417 7.0417 6.0282
angles (deg): 91.29 91.29 67.56
Element x y z (fractional)
Hf 0.0720 0.6874 0.1315
Hf 0.1149 0.1149 0.3770
Hf 0.3126 0.9280 0.8685
Hf 0.3480 0.3480 0.6484
Hf 0.6520 0.6520 0.3516
Hf 0.6874 0.0720 0.1315
Hf 0.8851 0.8851 0.6230
Hf 0.9280 0.3126 0.8685
Ge 0.2783 0.2783 0.0917
Ge 0.7217 0.7217 0.9083
As 0.2750 0.7250 0.5000
As 0.5000 0.5000 0.0000
As 0.7250 0.2750 0.5000

As for the space group: C2/m. The calculation puts the calculated total energy at -8.323 eV per atom. The value obtained for the formation enthalpy at 0 K is -414 meV per atom.

***

No. 15
First-principles (PBE) data for crystalline Hf4GeAs at its relaxed geometry, as listed in Alexandria.

a b c (Å): 6.5637 6.5637 5.3852
angles (deg): 90.00 90.00 90.00
Element x y z (fractional)
Hf 0.1556 0.3428 0.0000
Hf 0.1556 0.6572 0.5000
Hf 0.3428 0.1556 0.5000
Hf 0.3428 0.8444 0.0000
Hf 0.6572 0.1556 0.0000
Hf 0.6572 0.8444 0.5000
Hf 0.8444 0.3428 0.5000
Hf 0.8444 0.6572 0.0000
Ge 0.0000 0.0000 0.2500
Ge 0.0000 0.0000 0.7500
As 0.5000 0.5000 0.2500
As 0.5000 0.5000 0.7500

As for the space group: P4/mcc. The calculation puts the calculated total energy at -8.900 eV per atom. The value obtained for the formation enthalpy at 0 K is -720 meV per atom. Its excess energy over the best structure of this formula in the dataset is 0.000 eV/f.u.

***

No. 16
First-principles (PBE) data for crystalline Hf2GeAs2 at its relaxed geometry, as listed in Alexandria.

a b c (Å): 7.4980 7.4980 3.4574
angles (deg): 90.00 90.00 90.00
Element x y z (fractional)
Hf 0.1492 0.3508 0.0000
Hf 0.3508 0.8508 0.0000
Hf 0.6492 0.1492 0.0000
Hf 0.8508 0.6492 0.0000
Ge 0.0000 0.0000 0.5000
Ge 0.5000 0.5000 0.5000
As 0.1451 0.6451 0.5000
As 0.3549 0.1451 0.5000
As 0.6451 0.8549 0.5000
As 0.8549 0.3549 0.5000

As for the space group: P4/mbm. The calculation puts the calculated total energy at -7.204 eV per atom. The value obtained for the formation enthalpy at 0 K is -439 meV per atom. Its excess energy over the best structure of this formula in the dataset is 0.905 eV/f.u.

***

No. 17
First-principles (PBE) data for crystalline Hf2GeAs at its relaxed geometry, as listed in Alexandria.

a b c (Å): 3.8313 3.8313 6.6749
angles (deg): 106.76 106.76 60.03
Element x y z (fractional)
Hf 0.2485 0.2485 0.2452
Hf 0.7515 0.7515 0.7548
Ge 0.5000 0.5000 0.0000
As 0.0000 0.0000 0.5000

As for the space group: C2/m. The calculation puts the calculated total energy at -8.077 eV per atom. The value obtained for the formation enthalpy at 0 K is -783 meV per atom. Its excess energy over the best structure of this formula in the dataset is 0.012 eV/f.u.

***

No. 18
First-principles (PBE) data for crystalline Hf4Ge3As at its relaxed geometry, as listed in Alexandria.

a b c (Å): 3.2362 6.4443 7.5084
angles (deg): 89.62 89.66 75.82
Element x y z (fractional)
Hf 0.0060 0.2556 0.2516
Hf 0.0161 0.7557 0.2514
Hf 0.9839 0.2443 0.7486
Hf 0.9940 0.7444 0.7484
Ge 0.5000 0.0000 0.0000
Ge 0.5000 0.0000 0.5000
Ge 0.5000 0.5000 0.0000
As 0.5000 0.5000 0.5000

As for the space group: P-1. The calculation puts the calculated total energy at -7.816 eV per atom. The value obtained for the formation enthalpy at 0 K is -527 meV per atom.

***

No. 19
First-principles (PBE) data for crystalline Hf2GeAs2 at its relaxed geometry, as listed in Alexandria.

a b c (Å): 7.3714 7.3714 3.5766
angles (deg): 90.00 90.00 90.00
Element x y z (fractional)
Hf 0.1570 0.3430 0.0000
Hf 0.3430 0.8430 0.0000
Hf 0.6570 0.1570 0.0000
Hf 0.8430 0.6570 0.0000
Ge 0.0000 0.0000 0.0000
Ge 0.5000 0.5000 0.0000
As 0.1415 0.6415 0.5000
As 0.3585 0.1415 0.5000
As 0.6415 0.8585 0.5000
As 0.8585 0.3585 0.5000

As for the space group: P4/mbm. The calculation puts the calculated total energy at -7.385 eV per atom. The value obtained for the formation enthalpy at 0 K is -620 meV per atom. Its excess energy over the best structure of this formula in the dataset is 0.000 eV/f.u.

***

No. 20
First-principles (PBE) data for crystalline Hf2GeAs at its relaxed geometry, as listed in Alexandria.

a b c (Å): 4.7314 4.7314 4.7314
angles (deg): 60.00 60.00 60.00
Element x y z (fractional)
Hf 0.2500 0.2500 0.2500
Hf 0.7500 0.7500 0.7500
Ge 0.0000 0.0000 0.0000
As 0.5000 0.5000 0.5000

As for the space group: Fm-3m. The calculation puts the calculated total energy at -7.724 eV per atom. The value obtained for the formation enthalpy at 0 K is -431 meV per atom. Its excess energy over the best structure of this formula in the dataset is 1.422 eV/f.u.

***

No. 21
First-principles (PBE) data for crystalline Hf6GeAs2 at its relaxed geometry, as listed in Alexandria.

a b c (Å): 5.9317 6.9006 10.5911
angles (deg): 90.00 121.67 90.00
Element x y z (fractional)
Hf 0.0759 0.2001 0.4461
Hf 0.0759 0.2999 0.9461
Hf 0.2889 0.6561 0.4442
Hf 0.2889 0.8439 0.9442
Hf 0.4062 0.0403 0.2332
Hf 0.4062 0.4597 0.7332
Hf 0.5938 0.5403 0.2668
Hf 0.5938 0.9597 0.7668
Hf 0.7111 0.1561 0.0558
Hf 0.7111 0.3439 0.5558
Hf 0.9241 0.7001 0.0539
Hf 0.9241 0.7999 0.5539
Ge 0.5000 0.0000 0.5000
Ge 0.5000 0.5000 0.0000
As 0.1547 0.1258 0.7338
As 0.1547 0.3742 0.2338
As 0.8453 0.6258 0.7662
As 0.8453 0.8742 0.2662

As for the space group: P2_1/c. The calculation puts the calculated total energy at -8.716 eV per atom. The value obtained for the formation enthalpy at 0 K is -534 meV per atom.

***

No. 22
First-principles (PBE) data for crystalline Hf5GeAs2 at its relaxed geometry, as listed in Alexandria.

a b c (Å): 6.0634 6.0634 11.7794
angles (deg): 90.00 90.00 127.00
Element x y z (fractional)
Hf 0.0533 0.9467 0.6160
Hf 0.0533 0.9467 0.8840
Hf 0.3624 0.6376 0.2500
Hf 0.3887 0.6113 0.5728
Hf 0.3887 0.6113 0.9272
Hf 0.6113 0.3887 0.0728
Hf 0.6113 0.3887 0.4272
Hf 0.6376 0.3624 0.7500
Hf 0.9467 0.0533 0.1160
Hf 0.9467 0.0533 0.3840
Ge 0.2438 0.7562 0.7500
Ge 0.7562 0.2438 0.2500
As 0.1922 0.8078 0.0749
As 0.1922 0.8078 0.4251
As 0.8078 0.1922 0.5749
As 0.8078 0.1922 0.9251

As for the space group: Cmcm. The calculation puts the calculated total energy at -8.349 eV per atom. The value obtained for the formation enthalpy at 0 K is -388 meV per atom.

***

No. 23
First-principles (PBE) data for crystalline HfGe2As at its relaxed geometry, as listed in Alexandria.

a b c (Å): 6.9514 6.9514 6.9514
angles (deg): 126.30 126.30 79.40
Element x y z (fractional)
Hf 0.0000 0.0000 0.0000
Hf 0.7500 0.2500 0.5000
Ge 0.1466 0.6250 0.0216
Ge 0.3750 0.3966 0.5216
Ge 0.6034 0.1250 0.9784
Ge 0.8750 0.8534 0.4784
As 0.2500 0.7500 0.5000
As 0.5000 0.5000 0.0000

As for the space group: I-42d. The calculation puts the calculated total energy at -5.635 eV per atom. The value obtained for the formation enthalpy at 0 K is 324 meV per atom.

***

No. 24
First-principles (PBE) data for crystalline HfGeAs2 at its relaxed geometry, as listed in Alexandria.

a b c (Å): 7.4113 7.4113 7.4113
angles (deg): 131.74 131.74 70.64
Element x y z (fractional)
Hf 0.0000 0.0000 0.0000
Hf 0.7500 0.2500 0.5000
Ge 0.2500 0.7500 0.5000
Ge 0.5000 0.5000 0.0000
As 0.1200 0.6250 0.9950
As 0.3750 0.3700 0.4950
As 0.6300 0.1250 0.0050
As 0.8750 0.8800 0.5050

As for the space group: I-42d. The calculation puts the calculated total energy at -6.079 eV per atom. The value obtained for the formation enthalpy at 0 K is -112 meV per atom.